Here is crystalline NaErSn at its relaxed geometry from OQMD via LeMat-Bulk. Energies are from PBE-GGA.

abc: 5.1861 5.1861 6.4029
angles: 90.00 90.00 120.00
Fractional positions:
Na: 0.0000 0.0000 0.7572
Na: 0.0000 0.0000 0.2572
Er: 0.6667 0.3333 0.5048
Er: 0.3333 0.6667 0.0048
Sn: 0.6667 0.3333 0.0037
Sn: 0.3333 0.6667 0.5037

**Calculated volume**: 24.857 Å³ per atom
**Offset from the most stable computed form**: 0.0 meV per atom
**Electronic total energy**: -3.714 eV per atom
**Space-group type**: P6_3mc, No. 186

=====

Here is crystalline NaErTe at its relaxed geometry from OQMD via LeMat-Bulk. Energies are from PBE-GGA.

abc: 5.0267 5.0267 5.0267
angles: 60.00 60.00 60.00
Fractional positions:
Na: 0.7500 0.7500 0.7500
Er: 0.2500 0.2500 0.2500
Te: 0.0000 0.0000 0.0000

**Calculated volume**: 29.937 Å³ per atom
**Offset from the most stable computed form**: 0.0 meV per atom
**Electronic total energy**: -3.392 eV per atom
**Space-group type**: F-43m, No. 216

=====

Here is crystalline NaErTl2 at its relaxed geometry from OQMD via LeMat-Bulk. Energies are from PBE-GGA.

abc: 5.2776 5.2776 3.7983
angles: 90.00 90.00 90.00
Fractional positions:
Tl: 0.0000 0.5000 0.0000
Tl: 0.5000 0.0000 0.0000
Na: 0.0000 0.0000 0.5000
Er: 0.5000 0.5000 0.5000

**Calculated volume**: 26.449 Å³ per atom
**Electronic total energy**: -2.890 eV per atom
**Space-group type**: P4/mmm, No. 123

=====

Here is crystalline NaErU at its relaxed geometry from OQMD via LeMat-Bulk. Energies are from PBE-GGA.

abc: 5.1810 5.1810 5.1810
angles: 60.00 60.00 60.00
Fractional positions:
Na: 0.0000 0.0000 0.0000
U: 0.7500 0.7500 0.7500
Er: 0.2500 0.2500 0.2500

**Calculated volume**: 32.780 Å³ per atom
**Offset from the most stable computed form**: 0.0 meV per atom
**Electronic total energy**: -4.175 eV per atom
**Space-group type**: F-43m, No. 216

=====

Here is crystalline Na3Er2U2 at its relaxed geometry from OQMD via LeMat-Bulk. Energies are from PBE-GGA.

abc: 11.6204 11.6204 2.9428
angles: 90.00 90.00 150.36
Fractional positions:
U: 0.0562 0.9438 0.0000
U: 0.9438 0.0562 0.0000
Er: 0.7900 0.2100 0.0000
Er: 0.2100 0.7900 0.0000
Na: 0.3565 0.6435 0.5000
Na: 0.5000 0.5000 0.5000
Na: 0.6435 0.3565 0.5000

**Calculated volume**: 28.071 Å³ per atom
**Electronic total energy**: -4.399 eV per atom
**Space-group type**: Cmmm, No. 65

=====

Here is crystalline NaYEr at its relaxed geometry from OQMD via LeMat-Bulk. Energies are from PBE-GGA.

abc: 5.2887 5.2887 5.2887
angles: 60.00 60.00 60.00
Fractional positions:
Y: 0.7500 0.7500 0.7500
Er: 0.2500 0.2500 0.2500
Na: 0.0000 0.0000 0.0000

**Calculated volume**: 34.867 Å³ per atom
**Offset from the most stable computed form**: 0.0 meV per atom
**Electronic total energy**: -3.283 eV per atom
**Space-group type**: F-43m, No. 216

=====

Here is crystalline ErNb2 at its relaxed geometry from OQMD via LeMat-Bulk. Energies are from PBE-GGA.

abc: 5.7131 5.7131 5.7131
angles: 60.00 60.00 60.00
Fractional positions:
Er: 0.2500 0.2500 0.2500
Er: 0.0000 0.0000 0.0000
Nb: 0.6250 0.1250 0.6250
Nb: 0.1250 0.6250 0.6250
Nb: 0.6250 0.6250 0.1250
Nb: 0.6250 0.6250 0.6250

**Energy of formation from the pure elements**: 0.18 eV/atom
**Calculated volume**: 21.976 Å³ per atom
**Offset from the most stable computed form**: 0.0 meV per atom
**Electronic total energy**: -8.066 eV per atom
**Space-group type**: Fd-3m, No. 227

=====

Here is crystalline ErNb2 at its relaxed geometry from OQMD via LeMat-Bulk. Energies are from PBE-GGA.

abc: 8.2490 8.2490 8.2490
angles: 60.00 60.00 60.00
Fractional positions:
Nb: 0.3750 0.3750 0.8750
Nb: 0.3750 0.3750 0.3750
Nb: 0.8750 0.3750 0.3750
Nb: 0.3750 0.8750 0.3750
Er: 0.2500 0.2500 0.2500
Er: 0.5000 0.5000 0.5000

**Energy of formation from the pure elements**: 4.22 eV/atom
**Calculated volume**: 66.152 Å³ per atom
**Offset from the most stable computed form**: 4038.8 meV per atom
**Electronic total energy**: -4.028 eV per atom
**Space-group type**: Fd-3m, No. 227